(1)
12
Lattice="5.444 0.000 0.000 0.000 5.444 0.000 -2.722 -2.722 5.877" Properties=species:S:1:pos:R:3 comment="NaLaTe2O8, relaxed, DFT PBE" space_group=I-4 energy_ev_per_atom=-5.964 dos_ef_per_ev_cell=0.000 formation_energy_uncorrected_ev_per_atom=-1.6143 magmom_total_mub_per_fu=0.00 pbc="T T T"
Te 0.000 2.722 2.939
Te 2.722 2.722 0.000
La 0.000 0.000 0.000
O -1.306 3.565 3.951
O 1.838 1.414 0.970
O -0.844 1.416 1.926
O 3.606 4.030 0.970
O -1.308 0.884 4.908
O 1.306 1.878 3.951
O 1.308 -0.884 4.908
O 0.844 4.028 1.926
Na 2.722 0.000 2.939



(2)
14
Lattice="7.151 1.394 0.388 -1.938 7.023 0.388 -0.352 -0.569 6.969" Properties=species:S:1:pos:R:3 comment="TbDy3Ag3, relaxed, DFT PBE" delta_e_f_mev_per_atom=-145 space_group=C2/m energy_ev_per_atom=-4.001 dos_ef_per_ev_cell=13.046 magmom_total_mub_per_fu=0.00 pbc="T T T"
Ag 4.771 7.703 2.024
Ag -1.174 2.966 5.274
Ag 0.090 0.145 5.722
Ag 1.682 7.578 2.471
Ag 3.179 0.270 5.274
Ag 6.035 4.882 2.471
Dy 3.136 5.064 2.884
Dy 5.311 2.140 3.873
Dy 4.778 2.863 0.388
Dy 0.435 5.553 0.388
Dy 1.724 2.784 4.861
Dy -0.451 5.708 3.873
Tb 1.285 2.075 1.234
Tb 3.575 5.773 6.512



(3)
6
Lattice="3.583 0.000 0.000 0.000 3.583 0.000 0.000 0.000 11.307" Properties=species:S:1:pos:R:3 comment="TlVSe, relaxed, DFT PBE" space_group=P4/nmm energy_ev_per_atom=-5.339 dos_ef_per_ev_cell=3.604 formation_energy_uncorrected_ev_per_atom=-0.3492 magmom_total_mub_per_fu=0.00 pbc="T T T"
V 0.000 0.000 5.654
V 1.792 1.792 5.654
Tl 1.792 0.000 1.225
Tl 0.000 1.792 10.082
Se 0.000 1.792 3.896
Se 1.792 0.000 7.411



(4)
8
Lattice="3.992 0.000 0.000 0.000 4.811 0.000 0.000 0.000 11.703" Properties=species:S:1:pos:R:3 comment="Pm4In3Rh, relaxed, DFT PBE" delta_e_f_mev_per_atom=-492 space_group=Pmm2 energy_ev_per_atom=-4.813 dos_ef_per_ev_cell=7.795 magmom_total_mub_per_fu=0.00 pbc="T T T"
Pm 1.996 0.000 7.660
Pm 0.000 2.405 10.322
Pm 1.996 2.405 3.779
Pm 0.000 0.000 1.651
In 0.000 2.405 6.756
In 1.996 0.000 10.871
In 0.000 0.000 4.901
Rh 1.996 2.405 0.871